# GGA-PBE TbHf2, optimized geometry
# * E_tot: -8.06 eV/atom
# * Fermi-level density of states: 3.2 states/eV/cell
# * energy relative to the lowest polymorph listed for this composition: 0 meV/atom
# * formation energy from the elements: 121 meV/atom
data_TbHf2
_cell_length_a 3.187
_cell_length_b 3.187
_cell_length_c 7.813
_cell_angle_alpha 101.77
_cell_angle_beta 101.77
_cell_angle_gamma 90.00
_symmetry_space_group_name_H-M 'P 1'
_symmetry_Int_Tables_number 1
loop_
_symmetry_equiv_pos_as_xyz
'x,y,z'
loop_
_atom_site_label
_atom_site_type_symbol
_atom_site_fract_x
_atom_site_fract_y
_atom_site_fract_z
Tb1 Tb 0.000 0.000 0.000
Hf1 Hf 0.681 0.681 0.361
Hf2 Hf 0.319 0.319 0.639